Record 1
# Pm3Ag2Os

A relaxed Pm3Ag2Os crystal (PBE, Alexandria).

Calculated values
As for the space group: Cmmm. The calculation puts the density of states at the Fermi level at 7.67 states/eV/cell. The energy is -5.403 eV/atom. The value obtained for the formation energy is -1.2 eV per formula unit. Its crystal system is orthorhombic.

a b c (Å): 5.1143 8.0207 7.5324
angles (deg): 90.00 90.00 71.41
Last column: nearest neighbours and their distance in Å.
Fractional coordinates of all 12 atoms:
Pm: 0.8268 0.3463 0.7731  3 Os 3.01-3.08, 5 Ag 3.14-3.34
Pm: 0.5000 0.0000 0.2314  2 Os 3.04, 6 Ag 3.09-3.26
Pm: 0.1732 0.6537 0.2269  3 Os 3.01-3.08, 5 Ag 3.14-3.34
Pm: 0.8268 0.3463 0.2269  3 Os 3.01-3.08, 5 Ag 3.14-3.34
Pm: 0.1732 0.6537 0.7731  3 Os 3.01-3.08, 5 Ag 3.14-3.34
Pm: 0.5000 0.0000 0.7686  2 Os 3.04, 6 Ag 3.09-3.26
Ag: 0.0000 0.0000 0.0000  8 Pm 3.09-3.14
Ag: 0.0000 0.0000 0.5000  8 Pm 3.26-3.34, 4 Ag 3.58
Ag: 0.3352 0.3297 0.5000  8 Pm 3.21-3.28, 2 Ag 3.58
Ag: 0.6648 0.6703 0.5000  8 Pm 3.21-3.28, 2 Ag 3.58
Os: 0.3362 0.3276 0.0000  8 Pm 3.01-3.08
Os: 0.6638 0.6724 0.0000  8 Pm 3.01-3.08

---

Record 2
# Pm7Ag2Os2

A relaxed Pm7Ag2Os2 crystal (PBE, Alexandria).

Calculated values
As for the space group: Cmmm. The calculation puts the density of states at the Fermi level at 9.57 states/eV/cell. The energy is -5.655 eV/atom. The value obtained for the formation energy is -0.8 eV per formula unit. Its crystal system is orthorhombic.

a b c (Å): 6.9094 7.1681 6.9094
angles (deg): 90.00 107.36 90.00
Last column: nearest neighbours and their distance in Å.
Fractional coordinates of all 11 atoms:
Pm: 0.0000 0.2549 0.5000  2 Os 2.79
Pm: 0.5000 0.7451 0.0000  2 Os 2.79
Pm: 0.0000 0.7451 0.5000  2 Os 2.79
Pm: 0.5000 0.2549 0.0000  2 Os 2.79
Pm: 0.0000 0.0000 0.0000  2 Os 3.27
Pm: 0.5000 0.7544 0.5000  2 Os 2.90, 2 Ag 3.24
Pm: 0.5000 0.2456 0.5000  2 Os 2.90, 2 Ag 3.24
Ag: 0.8267 0.5000 0.8267  1 Ag 2.84
Ag: 0.1733 0.5000 0.1733  1 Ag 2.84
Os: 0.7065 0.0000 0.2935  6 Pm 2.79-2.90
Os: 0.2935 0.0000 0.7065  6 Pm 2.79-2.90